1.
Material: CaZrHg2I
Method: DFT, GGA-PBE
State: relaxed

Summary:
ΔE_f (raw): 0.684 eV per atom
total magnetic moment: 3.07 μB per cell
space group: P4/mmm
calculated density: 5.28 g/cm3

Cell and atoms, written as POSCAR:
```
CaZrHg2I
1.0
5.802 0.000 0.000
0.000 6.166 0.000
0.000 0.000 5.802
I Ca Hg Zr
1 1 2 1
Cartesian
2.901 3.083 2.901 I
0.000 0.000 0.000 Ca
2.901 0.000 0.000 Hg
0.000 0.000 2.901 Hg
0.000 3.083 0.000 Zr
```

2.
Material: SmEuPdPb
Method: DFT, GGA-PBE
State: relaxed

Summary:
calculated formation energy: -0.55 eV/atom
total magnetic moment: 6.93 μB per cell
space group: F-43m
calculated density: 9.42 g/cm3

Cell and atoms, written as POSCAR:
```
SmEuPdPb
1.0
5.356 0.000 0.000
2.678 4.638 0.000
2.678 1.546 4.373
Pb Pd Sm Eu
1 1 1 1
Cartesian
5.356 3.092 2.186 Pb
0.000 0.000 0.000 Pd
2.678 1.546 1.093 Sm
8.033 4.638 3.280 Eu
```

3.
Material: La3Pm2Ho8
Method: DFT, GGA-PBE
State: relaxed

Summary:
calculated formation energy: 0.03 eV/atom
distance to the lowest polymorph of the same formula: 0.00 eV/f.u.
total magnetic moment: 0.00 μB per cell
space group: P-1
calculated density: 7.86 g/cm3

Cell and atoms, written as POSCAR:
```
La3Pm2Ho8
1.0
-1.919 2.917 -5.177
-4.944 -3.521 -1.411
-9.841 4.505 4.950
Ho Pm La
8 2 3
Cartesian
-9.297 1.759 0.685 Ho
-13.131 4.301 -1.496 Ho
-3.851 2.590 -2.112 Ho
-12.852 1.310 0.475 Ho
-9.565 4.756 -1.311 Ho
-7.406 2.142 -2.323 Ho
-7.138 -0.856 -0.327 Ho
-3.573 -0.401 -0.141 Ho
-5.750 2.219 0.877 Pm
-10.953 1.682 -2.514 Pm
0.000 0.000 0.000 La
-11.469 4.420 1.742 La
-5.235 -0.520 -3.379 La
```

4.
Material: Li2CrSi
Method: DFT, GGA-PBE
State: relaxed

Summary:
ΔE_f (raw): 0.363 eV per atom
total magnetic moment: 7.80 μB per cell
space group: I-42d
calculated density: 2.41 g/cm3

Cell and atoms, written as POSCAR:
```
Li2CrSi
1.0
7.234 0.000 0.000
0.000 7.234 0.000
3.617 3.617 2.475
Li Cr Si
4 2 2
Cartesian
5.426 5.558 1.856 Li
5.293 1.809 0.619 Li
9.043 8.911 1.856 Li
1.941 5.426 0.619 Li
0.000 0.000 0.000 Cr
7.234 3.617 1.237 Cr
3.617 3.617 0.000 Si
3.617 7.234 1.237 Si
```

5.
Material: HfBi
Method: DFT, GGA-PBE
State: relaxed

Summary:
calculated formation energy: 0.08 eV/atom
total magnetic moment: 0.00 μB per cell
space group: P2_12_12_1
calculated density: 11.18 g/cm3

Cell and atoms, written as POSCAR:
```
HfBi
1.0
-0.421 5.726 1.944
-3.412 2.562 -8.286
-7.565 -1.460 2.664
Hf Bi
8 8
Cartesian
-7.369 3.119 -5.051 Hf
-8.585 3.560 0.827 Hf
-7.968 3.414 -2.154 Hf
-3.574 6.290 -0.575 Hf
-5.780 5.599 -2.563 Hf
-1.062 1.378 -0.569 Hf
-4.934 1.939 -6.602 Hf
-6.320 2.013 1.976 Hf
-4.995 2.720 -3.385 Bi
-1.592 4.066 0.871 Bi
-3.928 1.146 0.320 Bi
-8.056 0.885 -0.609 Bi
-10.055 2.279 -3.986 Bi
-8.152 5.985 -4.234 Bi
-5.756 4.292 0.108 Bi
-3.057 5.938 -3.798 Bi
```

6.
Material: LaTbYTl
Method: DFT, GGA-PBE
State: relaxed

Summary:
calculated formation energy: -0.07 eV/atom
total magnetic moment: 1.34 μB per cell
space group: F-43m
calculated density: 7.98 g/cm3

Cell and atoms, written as POSCAR:
```
LaTbYTl
1.0
5.583 0.000 0.000
2.791 4.835 0.000
2.791 1.612 4.558
Tl La Tb Y
1 1 1 1
Cartesian
0.000 0.000 0.000 Tl
2.791 1.612 1.140 La
5.583 3.223 2.279 Tb
8.374 4.835 3.419 Y
```

7.
Material: Rb3As7
Method: DFT, GGA-PBE
State: relaxed

Summary:
calculated formation energy: -0.37 eV/atom
distance to the lowest polymorph of the same formula: 0.05 eV/f.u.
total magnetic moment: 0.00 μB per cell
space group: P2_1/c
calculated density: 3.62 g/cm3

Cell and atoms, written as POSCAR:
```
Rb3As7
1.0
-6.432 0.770 4.276
6.802 -3.838 10.923
7.192 26.118 4.699
As Rb
56 24
Cartesian
1.199 6.417 11.511 As
11.419 19.179 12.769 As
2.717 25.954 8.812 As
3.716 5.927 5.218 As
3.561 0.423 9.428 As
-3.856 3.871 7.128 As
6.755 18.371 17.007 As
4.846 -2.904 11.086 As
7.196 6.474 9.414 As
2.079 5.621 14.955 As
-0.630 12.795 9.330 As
1.341 3.449 14.081 As
1.593 3.901 11.745 As
0.367 16.576 10.484 As
1.167 11.946 6.195 As
7.606 18.347 14.604 As
7.886 13.072 12.947 As
8.193 10.255 10.567 As
3.587 5.526 11.576 As
5.920 24.353 10.401 As
4.002 22.627 10.469 As
-4.485 -0.118 6.564 As
4.258 24.176 8.454 As
12.048 23.168 13.333 As
1.911 10.412 8.112 As
7.298 9.205 12.600 As
-0.323 9.978 6.951 As
5.970 19.149 8.152 As
1.381 11.619 10.093 As
0.265 13.845 7.298 As
-1.966 10.991 8.341 As
9.529 12.059 11.556 As
5.214 -0.595 8.052 As
3.448 3.489 5.099 As
1.538 6.561 4.460 As
2.349 23.645 11.845 As
-2.071 0.075 6.972 As
5.484 17.429 4.942 As
4.256 5.806 13.846 As
4.115 19.561 14.798 As
3.976 17.524 8.321 As
1.643 -1.303 9.497 As
-0.043 4.703 5.294 As
6.222 19.601 5.817 As
6.142 19.831 13.449 As
3.305 -1.126 11.443 As
0.808 4.679 2.890 As
5.652 12.638 11.786 As
6.396 11.103 13.703 As
6.364 16.633 8.387 As
6.025 16.488 15.437 As
3.307 17.243 6.051 As
9.634 22.975 12.926 As
3.847 17.123 14.679 As
6.182 11.431 9.805 As
1.421 3.219 6.449 As
5.266 8.824 7.239 Rb
2.948 19.066 11.427 Rb
4.473 8.787 15.956 Rb
-0.098 1.850 9.324 Rb
-2.656 7.140 5.853 Rb
5.372 23.368 13.974 Rb
6.150 23.414 5.233 Rb
-0.976 1.404 3.720 Rb
4.615 3.984 8.470 Rb
2.191 -0.318 5.924 Rb
0.928 6.743 8.019 Rb
7.661 21.200 10.574 Rb
6.635 16.307 11.878 Rb
0.959 9.893 3.237 Rb
8.539 21.646 16.177 Rb
6.604 13.157 16.660 Rb
3.700 9.288 11.832 Rb
4.770 2.271 12.309 Rb
3.090 14.263 3.941 Rb
2.297 14.226 12.658 Rb
3.863 13.762 8.065 Rb
10.219 15.910 14.044 Rb
1.413 -0.364 14.664 Rb
2.793 20.779 7.588 Rb
```

8.
Material: DyY4Er2Sc
Method: DFT, GGA-PBE
State: relaxed

Summary:
calculated formation energy: 0.04 eV/atom
total magnetic moment: 0.00 μB per cell
space group: P4/mmm
calculated density: 6.07 g/cm3

Cell and atoms, written as POSCAR:
```
DyY4Er2Sc
1.0
-1.897 -3.794 -2.588
-1.803 -1.963 4.198
-10.246 3.115 2.944
Y Dy Er Sc
4 1 2 1
Cartesian
-9.044 -0.076 1.970 Y
-3.052 0.313 1.779 Y
-10.893 -2.954 2.775 Y
-4.902 -2.566 2.584 Y
-1.850 -2.878 0.805 Dy
-6.071 -0.339 0.178 Er
-10.246 3.115 2.944 Er
-6.024 0.576 3.571 Sc
```

9.
Material: La2RuBr
Method: DFT, GGA-PBE
State: relaxed

Summary:
ΔE_f (raw): -0.585 eV per atom
distance to the lowest polymorph of the same formula: 1.30 eV/f.u.
total magnetic moment: 0.00 μB per cell
space group: Immm
calculated density: 7.21 g/cm3

Cell and atoms, written as POSCAR:
```
La2RuBr
1.0
5.394 0.009 0.000
-0.015 5.394 0.000
-1.853 -3.534 3.631
La Br Ru
2 1 1
Cartesian
5.251 5.274 0.000 La
2.817 2.830 0.000 La
0.411 2.280 1.816 Br
3.115 -0.412 1.816 Ru
```

10.
Material: LiYAsS4
Method: DFT, GGA-PBE
State: relaxed

Summary:
ΔE_f (raw): -0.918 eV per atom
total magnetic moment: 0.00 μB per cell
space group: Imma
calculated density: 3.16 g/cm3

Cell and atoms, written as POSCAR:
```
LiYAsS4
1.0
-6.994 -3.002 -0.300
-3.730 -1.614 6.427
-6.043 4.232 1.842
S Y Li As
8 2 2 2
Cartesian
-12.599 -0.240 6.034 S
-9.587 -2.361 5.128 S
-7.706 -1.563 1.910 S
-10.697 0.468 2.691 S
-6.071 -0.851 5.278 S
-4.169 -0.144 1.936 S
-9.061 1.180 6.059 S
-7.180 1.977 2.842 S
-4.887 1.309 4.134 Y
0.000 0.000 0.000 Y
-3.022 2.116 0.921 Li
-6.519 0.615 0.771 Li
-9.327 2.008 3.965 As
-7.440 -2.392 4.005 As
```

11.
Material: Zn3C
Method: DFT, GGA-PBE
State: relaxed

Summary:
calculated formation energy: 1.06 eV/atom
total magnetic moment: 0.00 μB per cell
space group: I4/mmm
calculated density: 6.76 g/cm3

Cell and atoms, written as POSCAR:
```
Zn3C
1.0
-3.184 3.121 -1.098
-4.112 -1.182 1.667
4.164 0.328 1.908
C Zn
1 3
Cartesian
0.000 0.000 0.000 C
-3.648 0.969 0.285 Zn
-1.334 2.209 0.547 Zn
-1.798 0.057 1.929 Zn
```

12.
Material: LiSnBr
Method: DFT, GGA-PBE
State: relaxed

Summary:
ΔE_f (raw): -0.820 eV per atom
distance to the lowest polymorph of the same formula: 0.15 eV/f.u.
total magnetic moment: 0.00 μB per cell
space group: P1
calculated density: 4.34 g/cm3

Cell and atoms, written as POSCAR:
```
LiSnBr
1.0
3.741 0.012 0.005
1.862 3.247 0.008
1.865 1.059 12.975
Br Li Sn
2 2 2
Cartesian
3.034 2.476 5.529 Br
4.906 1.384 9.225 Br
4.907 1.399 6.669 Li
3.030 2.457 10.365 Li
3.024 2.493 0.089 Sn
3.024 0.328 2.550 Sn
```